1.
Computed, not measured: crystalline K2NaNpO4 at its relaxed geometry at the PBE level of DFT.

Cell and atoms, written as extended XYZ:
```
8
Lattice="-3.1567 1.5274 -0.4597 -2.3659 -5.3268 -1.4533 -0.5669 0.7620 6.4247" Properties=species:S:1:pos:R:3 pbc="T T T"
K -1.8618 1.1447 2.9825
O -3.7238 -2.4073 3.9668
O -2.3656 -0.6301 0.5449
Np -2.7613 -1.8997 -0.9565
O -1.7805 -3.6187 0.2026
K -1.4664 -2.2824 2.4857
O -1.1522 -0.9461 4.7687
Na 0.0000 0.0000 0.0000
```

Its total energy is -6.7704 eV/atom. For the density of states at the Fermi level, the calculation gives 0.3447 states/eV per atom. The calculation puts the energy relative to the elements, uncorrected at -2.23 eV per atom.



2.
Computed, not measured: crystalline CaAl6Ga2 at its relaxed geometry at the PBE level of DFT.

Cell and atoms, written as extended XYZ:
```
9
Lattice="-3.4631 2.0183 0.9892 -2.2317 -2.8712 -1.9547 -0.6340 -5.1498 8.2881" Properties=species:S:1:pos:R:3 pbc="T T T"
Al -3.1643 -3.0013 3.6613
Al -2.1765 -2.6054 6.3119
Ca 0.0000 0.0000 0.0000
Ga -2.9289 -1.0887 0.5830
Ga -3.3998 -4.9140 6.7396
Al -0.3170 -2.5749 4.1441
Al -1.5608 -5.0501 4.8400
Al -1.9205 -0.5261 2.9654
Al -1.3048 -2.9708 1.4935
```

Its total energy is -3.5526 eV/atom. For the density of states at the Fermi level, the calculation gives 0.3879 states/eV per atom. For the formation energy, the calculation gives -1.46 eV/f.u.



3.
Computed, not measured: crystalline MgFe2Pd at its relaxed geometry at the PBE level of DFT.

Cell and atoms, written as extended XYZ:
```
8
Lattice="-2.0682 -4.6299 5.0061 6.5548 0.0918 2.7929 1.5773 -0.3496 5.3996" Properties=species:S:1:pos:R:3 pbc="T T T"
Mg 5.1877 -1.2634 6.0460
Mg 2.2433 -2.2691 3.8995
Pd 0.0000 0.0000 0.0000
Fe 4.2828 -0.4963 3.5996
Fe -0.1292 -3.0821 4.9494
Fe 2.7062 -1.9662 6.9065
Fe 5.2680 -4.2308 10.9417
Pd 0.8762 -3.6243 7.1526
```

Its total energy is -5.5468 eV/atom. For the density of states at the Fermi level, the calculation gives 0.9501 states/eV per atom. For the formation energy, the calculation gives 1.53 eV/f.u.